Entry i
Density functional theory data (PBE) for a relaxed structure of KReOs.

Geometry as extended XYZ:
```
3
Lattice="2.819 0.000 0.000 -1.410 2.442 0.000 0.000 0.000 8.125" Properties=species:S:1:pos:R:3 pbc="T T T"
K 0.000 0.000 0.032
Re 0.000 1.628 5.062
Os 1.410 0.814 3.031
```


Entry ii
Density functional theory data (PBE) for a relaxed structure of KReOs.

Geometry as extended XYZ:
```
3
Lattice="4.479 -1.426 1.175 2.492 2.991 1.294 1.987 -0.728 4.358" Properties=species:S:1:pos:R:3 pbc="T T T"
K 2.499 2.982 1.301
Os 5.048 -0.319 4.022
Re 3.902 1.165 2.799
```


Entry iii
Density functional theory data (PBE) for a relaxed structure of KReOs.

Geometry as extended XYZ:
```
3
Lattice="-4.203 0.394 -1.565 -3.159 -2.947 1.267 -3.316 1.300 2.755" Properties=species:S:1:pos:R:3 pbc="T T T"
Os 0.000 0.000 0.000
K -8.009 -0.940 1.842
Re -5.339 -0.627 1.228
```


Entry iv
Density functional theory data (PBE) for a relaxed structure of KReOs.

Geometry as extended XYZ:
```
3
Lattice="-7.100 1.806 -1.916 -6.959 -2.464 -1.685 6.495 0.423 3.870" Properties=species:S:1:pos:R:3 pbc="T T T"
K -13.994 -0.655 -3.584
Re -9.936 -0.465 -2.545
Os -4.187 -0.196 -1.073
```


Energy relative to the most stable one, in meV/atom: entry i 0; entry ii 1558; entry iii 2781; entry iv 48


Entry i
Density functional theory data (PBE) for a relaxed structure of K2Re2Os.

Geometry as extended XYZ:
```
5
Lattice="-0.912 0.719 -3.377 3.341 -0.698 -1.051 -0.796 -7.896 -3.353" Properties=species:S:1:pos:R:3 pbc="T T T"
Re 0.933 -1.096 -2.374
Re 0.700 -6.779 -5.408
K 1.880 -4.292 -3.309
K -0.247 -3.583 -4.472
Os 0.000 0.000 0.000
```


Entry ii
Density functional theory data (PBE) for a relaxed structure of K2Re2Os.

Geometry as extended XYZ:
```
10
Lattice="6.336 0.000 0.000 0.000 6.336 0.000 0.000 0.000 6.014" Properties=species:S:1:pos:R:3 pbc="T T T"
Re 5.499 4.004 0.000
Re 2.331 5.499 0.000
Re 4.004 0.837 0.000
Re 0.837 2.331 0.000
Os 0.000 0.000 0.000
Os 3.168 3.168 0.000
K 1.171 4.339 3.007
K 4.339 5.164 3.007
K 1.997 1.171 3.007
K 5.164 1.997 3.007
```


Energy relative to the most stable one, in meV/atom: entry i 910; entry ii 0